Density functional theory data (GGA-PBE) for a relaxed KTlSnBr6 crystal.

Lattice parameters (Å, degrees): 7.9604 7.9604 12.8613 90.00 90.00 120.00
Closest atoms and distances in Å follow each position.
Element x y z (fractional)
Br: 0.0618 0.3950 0.6291  1 Sn 2.66
Br: 0.0618 0.6668 0.8709  1 Sn 2.66
K: 0.6667 0.3333 0.7500  6 Br 3.32
Br: 0.3332 0.3950 0.8709  1 Sn 2.66
Tl: 0.0000 0.0000 0.5000  6 Br 3.37
Br: 0.6050 0.6668 0.6291  1 Sn 2.66
Br: 0.3950 0.3332 0.3709  1 Sn 2.66
Br: 0.3332 0.9382 0.6291  1 Sn 2.66
Br: 0.6668 0.0618 0.3709  1 Sn 2.66
Br: 0.9382 0.3332 0.1291  1 Sn 2.66
Br: 0.6050 0.9382 0.8709  1 Sn 2.66
Br: 0.3950 0.0618 0.1291  1 Sn 2.66
Sn: 0.3333 0.6667 0.7500  6 Br 2.66
Sn: 0.6667 0.3333 0.2500  6 Br 2.66
Tl: 0.0000 0.0000 0.0000  6 Br 3.37
Br: 0.6668 0.6050 0.1291  1 Sn 2.66
Br: 0.9382 0.6050 0.3709  1 Sn 2.66
K: 0.3333 0.6667 0.2500  6 Br 3.32

Values from the calculation:
* space group: No. 163
* uncorrected energy: -25.9 eV/f.u.

---

Density functional theory data (GGA-PBE) for a relaxed MnVFeCu crystal.

Lattice parameters (Å, degrees): 4.0878 4.0878 4.0878 60.00 60.00 60.00
Closest atoms and distances in Å follow each position.
Element x y z (fractional)
V: 0.7500 0.7500 0.7500  4 Mn 2.50, 4 Fe 2.50
Cu: 0.2500 0.2500 0.2500  4 Fe 2.50, 4 Mn 2.50
Mn: 0.5000 0.5000 0.5000  4 Cu 2.50, 4 V 2.50
Fe: 0.0000 0.0000 0.0000  4 V 2.50, 4 Cu 2.50

Values from the calculation:
* space group: No. 216
* uncorrected energy: -30.7 eV/f.u.
* formation enthalpy at 0 K: 0.17 eV/f.u.

---

Density functional theory data (GGA-PBE) for a relaxed DyPuInIr crystal.

Lattice parameters (Å, degrees): 5.0798 5.0798 5.0798 60.00 60.00 60.00
Closest atoms and distances in Å follow each position.
Element x y z (fractional)
In: 0.0000 0.0000 0.0000  4 Dy 3.11, 4 Pu 3.11
Pu: 0.2500 0.2500 0.2500  4 In 3.11, 4 Ir 3.11
Ir: 0.5000 0.5000 0.5000  4 Dy 3.11, 4 Pu 3.11
Dy: 0.7500 0.7500 0.7500  4 In 3.11, 4 Ir 3.11

Values from the calculation:
* space group: No. 216
* uncorrected energy: -31.8 eV/f.u.
* formation enthalpy at 0 K: -1.29 eV/f.u.

---

Density functional theory data (GGA-PBE) for a relaxed Y4CdRu crystal.

Lattice parameters (Å, degrees): 6.7510 7.6384 8.5531 111.22 107.40 102.37
Closest atoms and distances in Å follow each position.
Element x y z (fractional)
Y: 0.2839 0.9440 0.5744  1 Ru 2.65
Ru: 0.1687 0.9187 0.8374  6 Y 2.65-2.79
Y: 0.2095 0.3696 0.4256  1 Ru 2.65
Y: 0.7161 0.0560 0.4256  1 Ru 2.65
Cd: 0.3727 0.6227 0.2454  8 Y 3.10-3.37
Y: 0.9571 0.1877 0.9175  2 Ru 2.75-2.79
Y: 0.4604 0.7297 0.9175  2 Ru 2.75-2.79
Cd: 0.6273 0.3773 0.7546  8 Y 3.10-3.37
Y: 0.5396 0.2703 0.0825  2 Ru 2.75-2.79
Y: 0.7905 0.6304 0.5744  1 Ru 2.65
Ru: 0.8313 0.0813 0.1626  6 Y 2.65-2.79
Y: 0.0429 0.8123 0.0825  2 Ru 2.75-2.79

Values from the calculation:
* energy above the most stable polymorph in this dataset: 1.239 eV/f.u.
* space group: No. 15
* uncorrected energy: -36.8 eV/f.u.
* formation enthalpy at 0 K: -0.73 eV/f.u.

---

Density functional theory data (GGA-PBE) for a relaxed SiSeSN crystal.

Lattice parameters (Å, degrees): 3.0014 3.1498 8.0252 86.78 80.32 61.56
Closest atoms and distances in Å follow each position.
Element x y z (fractional)
S: 0.6453 0.3338 0.4712  1 Si 2.18, 1 Se 2.18
Si: 0.6127 0.6246 0.2186  3 N 1.82-1.92
N: 0.9787 0.9480 0.1571  3 Si 1.82-1.92
Se: 0.3533 0.6916 0.7202  1 S 2.18

Values from the calculation:
* energy above the most stable polymorph in this dataset: 0.622 eV/f.u.
* space group: No. 1
* uncorrected energy: -21.3 eV/f.u.

---

Density functional theory data (GGA-PBE) for a relaxed Cd3Pb2 crystal.

Lattice parameters (Å, degrees): 4.6682 4.6682 7.8794 90.00 90.00 120.00
Closest atoms and distances in Å follow each position.
Element x y z (fractional)
Cd: 0.0000 0.0000 0.0000  6 Pb 3.09
Pb: 0.3333 0.6667 0.8077  7 Cd 3.09-3.19
Cd: 0.3333 0.6667 0.4024  3 Cd 3.10, 4 Pb 3.16-3.19
Cd: 0.6667 0.3333 0.5976  3 Cd 3.10, 4 Pb 3.16-3.19
Pb: 0.6667 0.3333 0.1923  7 Cd 3.09-3.19

Values from the calculation:
* energy above the most stable polymorph in this dataset: 0.486 eV/f.u.
* space group: No. 164
* uncorrected energy: -9.5 eV/f.u.
* formation enthalpy at 0 K: 0.66 eV/f.u.

---

Density functional theory data (GGA-PBE) for a relaxed HgW5 crystal.

Lattice parameters (Å, degrees): 5.3364 5.3364 4.5533 90.00 90.00 120.00
Closest atoms and distances in Å follow each position.
Element x y z (fractional)
Hg: 0.0000 0.0000 0.0000  6 W 3.08
W: 0.5000 0.5000 0.5000  8 W 2.67-2.75
W: 0.0000 0.5000 0.5000  8 W 2.67-2.75
W: 0.5000 0.0000 0.5000  8 W 2.67-2.75
W: 0.6667 0.3333 0.0000  6 W 2.75
W: 0.3333 0.6667 0.0000  6 W 2.75

Values from the calculation:
* energy above the most stable polymorph in this dataset: 1.218 eV/f.u.
* space group: No. 191
* uncorrected energy: -60.3 eV/f.u.
* formation enthalpy at 0 K: 4.75 eV/f.u.

---

Density functional theory data (GGA-PBE) for a relaxed In2GaBr2 crystal.

Lattice parameters (Å, degrees): 5.5747 6.0541 10.8940 80.78 78.69 64.52
Closest atoms and distances in Å follow each position.
Element x y z (fractional)
Br: 0.7218 0.9655 0.3305  1 Ga 2.63
Br: 0.1648 0.8965 0.6268  1 Ga 2.70
Br: 0.4837 0.5991 0.1639  1 Ga 2.73
In: 0.2047 0.6864 0.9120  3 Br 3.07-3.28, 2 In 3.28, 2 Ga 3.31-3.42
Ga: 0.3218 0.1513 0.7509  2 Br 2.70-2.79, 2 In 2.91
In: 0.2528 0.1348 0.0238  3 Ga 2.87-2.91, 1 Br 3.18
Br: 0.7874 0.4899 0.7791  1 Ga 2.79, 2 In 3.05-3.07
In: 0.6392 0.3467 0.5584  1 Ga 2.91, 2 Br 3.05-3.15, 1 In 3.17
Ga: 0.7265 0.1312 0.0923  2 Br 2.63-2.73, 2 In 2.87-2.89
In: 0.0105 0.3546 0.2988  2 In 3.17-3.27, 4 Br 3.20-3.53

Values from the calculation:
* energy above the most stable polymorph in this dataset: 0.318 eV/f.u.
* space group: No. 1
* uncorrected energy: -13.8 eV/f.u.

---

Density functional theory data (GGA-PBE) for a relaxed Ce2Ru3Rh crystal.

Lattice parameters (Å, degrees): 5.2736 5.2736 5.4554 89.78 118.96 120.20
Closest atoms and distances in Å follow each position.
Element x y z (fractional)
Ce: 0.7555 0.3777 0.1332  3 Rh 3.10-3.11, 9 Ru 3.11-3.25, 4 Ce 3.27-3.32
Ru: 0.0000 0.0000 0.5000  4 Ru 2.63-2.64, 2 Rh 2.73
Ru: 0.5000 0.0000 0.5000  4 Ru 2.64, 2 Rh 2.73
Rh: 0.0000 0.0000 0.0000  6 Ru 2.73
Ru: 0.5000 0.5000 0.5000  4 Ru 2.63-2.64, 2 Rh 2.73
Ce: 0.2445 0.6223 0.8668  3 Rh 3.10-3.11, 9 Ru 3.11-3.25, 4 Ce 3.27-3.32

Values from the calculation:
* space group: No. 12
* uncorrected energy: -49.4 eV/f.u.
* formation enthalpy at 0 K: -2.35 eV/f.u.

---

Density functional theory data (GGA-PBE) for a relaxed Be4Cl3 crystal.

Lattice parameters (Å, degrees): 6.3107 6.3107 3.6787 90.00 90.00 120.00
Closest atoms and distances in Å follow each position.
Element x y z (fractional)
Cl: 0.5000 0.5000 0.0000  4 Be 2.59
Be: 0.6667 0.3333 0.5000  6 Cl 2.59
Be: 0.0000 0.0000 0.2472  2 Be 1.82-1.86
Cl: 0.0000 0.5000 0.0000  4 Be 2.59
Be: 0.0000 0.0000 0.7528  2 Be 1.82-1.86
Cl: 0.5000 0.0000 0.0000  4 Be 2.59
Be: 0.3333 0.6667 0.5000  6 Cl 2.59

Values from the calculation:
* space group: No. 191
* uncorrected energy: -15.9 eV/f.u.

---

Density functional theory data (GGA-PBE) for a relaxed NaNdEr4S8 crystal.

Lattice parameters (Å, degrees): 8.0440 8.0440 8.1544 60.45 60.45 60.00
Closest atoms and distances in Å follow each position.
Element x y z (fractional)
S: 0.2452 0.2452 0.7278  2 Er 2.66, 1 Na 2.70, 1 Nd 2.77
Na: 0.3728 0.3728 0.8816  4 S 2.70-2.71
S: 0.2452 0.7818 0.7278  2 Er 2.66, 1 Na 2.70, 1 Nd 2.77
S: 0.2379 0.2379 0.2863  3 Er 2.67, 1 Na 2.71
S: 0.2299 0.7517 0.2667  3 Er 2.61-2.81, 1 Nd 2.90
S: 0.7818 0.2452 0.7278  2 Er 2.66, 1 Na 2.70, 1 Nd 2.77
S: 0.7517 0.2299 0.2667  3 Er 2.61-2.81, 1 Nd 2.90
Er: 0.0046 0.0046 0.5042  6 S 2.66-2.83
S: 0.7581 0.7581 0.7258  4 Er 2.66-2.83
Er: 0.4865 0.0046 0.5042  6 S 2.66-2.83
Nd: 0.0040 0.0040 0.9879  6 S 2.77-2.90
Er: 0.0046 0.4865 0.5042  6 S 2.66-2.83
S: 0.7517 0.7517 0.2667  3 Er 2.61-2.81, 1 Nd 2.90
Er: 0.6260 0.6260 0.1221  4 S 2.61-2.66

Values from the calculation:
* space group: No. 160
* uncorrected energy: -84.6 eV/f.u.

---

Density functional theory data (GGA-PBE) for a relaxed SrAl4Au2 crystal.

Lattice parameters (Å, degrees): 4.3168 7.4677 17.6861 90.00 90.00 90.00
Closest atoms and distances in Å follow each position.
Element x y z (fractional)
Au: 0.7500 0.1816 0.9607  6 Al 2.61-2.73
Al: 0.2500 0.0058 0.9066  4 Au 2.55-2.73, 2 Al 2.85
Sr: 0.2500 0.4904 0.8853  10 Al 3.34-3.67, 5 Au 3.41-3.66
Au: 0.2500 0.9651 0.7635  7 Al 2.55-2.74
Al: 0.2500 0.2135 0.0427  2 Au 2.61, 4 Al 2.74-2.86
Au: 0.7500 0.4651 0.7365  7 Al 2.55-2.74
Au: 0.7500 0.0349 0.2365  7 Al 2.55-2.74
Al: 0.7500 0.5058 0.5934  4 Au 2.55-2.73, 2 Al 2.85
Al: 0.2500 0.8380 0.1906  4 Au 2.61-2.74, 1 Al 2.87
Al: 0.7500 0.1620 0.8094  4 Au 2.61-2.74, 1 Al 2.87
Al: 0.2500 0.4942 0.4066  4 Au 2.55-2.73, 2 Al 2.85
Al: 0.2500 0.2865 0.5427  2 Au 2.61, 4 Al 2.74-2.86
Sr: 0.7500 0.9904 0.6147  10 Al 3.34-3.67, 5 Au 3.41-3.66
Al: 0.7500 0.7787 0.8021  3 Au 2.61-2.66, 2 Al 2.74-2.87
Al: 0.7500 0.3380 0.3094  4 Au 2.61-2.74, 1 Al 2.87
Al: 0.2500 0.6620 0.6906  4 Au 2.61-2.74, 1 Al 2.87
Al: 0.7500 0.7865 0.9573  2 Au 2.61, 4 Al 2.74-2.86
Al: 0.7500 0.7213 0.3021  3 Au 2.61-2.66, 2 Al 2.74-2.87
Sr: 0.2500 0.0096 0.3853  10 Al 3.34-3.67, 5 Au 3.41-3.66
Al: 0.2500 0.2213 0.1979  3 Au 2.61-2.66, 2 Al 2.74-2.87
Au: 0.2500 0.6816 0.5393  6 Al 2.61-2.73
Au: 0.2500 0.8184 0.0393  6 Al 2.61-2.73
Au: 0.7500 0.3184 0.4607  6 Al 2.61-2.73
Au: 0.2500 0.5349 0.2635  7 Al 2.55-2.74
Al: 0.7500 0.9942 0.0934  4 Au 2.55-2.73, 2 Al 2.85
Al: 0.7500 0.7135 0.4573  2 Au 2.61, 4 Al 2.74-2.86
Sr: 0.7500 0.5096 0.1147  10 Al 3.34-3.67, 5 Au 3.41-3.66
Al: 0.2500 0.2787 0.6979  3 Au 2.61-2.66, 2 Al 2.74-2.87

Values from the calculation:
* space group: No. 62
* uncorrected energy: -26.8 eV/f.u.
* formation enthalpy at 0 K: -3.59 eV/f.u.